Here is crystalline Fe4Pt5 at its relaxed geometry from Alexandria via LeMat-Bulk. Energies are from PBE-GGA.

* ΔE_f: -172 meV per atom
* energy: -7.289 eV per atom
* spin magnetization: 1.426 μB/atom
* density of states at the Fermi level: 10.44 states/eV per cell

```
Fe4Pt5
1.0
-4.078 4.078 1.929
4.078 -4.078 1.929
4.078 4.078 -1.929
Fe Pt
4 5
Direct
0.000 0.339 0.339
0.000 0.661 0.661
0.339 0.000 0.339
0.661 0.000 0.661
0.000 0.000 0.000
0.330 0.330 0.660
0.330 0.670 0.000
0.670 0.330 0.000
0.670 0.670 0.340
```

Here is crystalline FePt4 at its relaxed geometry from Alexandria via LeMat-Bulk. Energies are from PBE-GGA.

* ΔE_f: 62 meV per atom
* energy: -6.463 eV per atom
* spin magnetization: 0.845 μB/atom
* density of states at the Fermi level: 8.39 states/eV per cell

```
FePt4
1.0
5.217 0.000 0.000
0.000 5.217 0.000
0.000 0.000 6.093
Fe Pt
2 8
Direct
0.250 0.250 0.000
0.750 0.750 0.000
0.069 0.569 0.290
0.069 0.931 0.710
0.431 0.569 0.710
0.431 0.931 0.290
0.569 0.069 0.710
0.569 0.431 0.290
0.931 0.069 0.290
0.931 0.431 0.710
```

Here is crystalline FePt at its relaxed geometry from Alexandria via LeMat-Bulk. Energies are from PBE-GGA.

* ΔE_f: 325 meV per atom
* energy: -6.927 eV per atom
* spin magnetization: 1.747 μB/atom
* density of states at the Fermi level: 7.96 states/eV per cell

```
FePt
1.0
-5.122 5.122 1.354
5.122 -5.122 1.354
5.122 5.122 -1.354
Fe Pt
4 4
Direct
0.166 0.308 0.475
0.308 0.834 0.142
0.692 0.166 0.858
0.834 0.692 0.525
0.044 0.815 0.859
0.185 0.044 0.229
0.815 0.956 0.771
0.956 0.185 0.141
```

Here is crystalline Fe4Pt3 at its relaxed geometry from Alexandria via LeMat-Bulk. Energies are from PBE-GGA.

* ΔE_f: -85 meV per atom
* energy: -7.509 eV per atom
* spin magnetization: 1.865 μB/atom
* density of states at the Fermi level: 14.73 states/eV per cell

```
Fe4Pt3
1.0
5.695 3.288 1.747
-5.695 3.288 1.747
0.000 -6.576 1.747
Fe Pt
8 6
Direct
0.000 0.000 0.000
0.032 0.757 0.627
0.243 0.373 0.968
0.373 0.968 0.243
0.500 0.500 0.500
0.627 0.032 0.757
0.757 0.627 0.032
0.968 0.243 0.373
0.109 0.557 0.258
0.258 0.109 0.557
0.443 0.742 0.891
0.557 0.258 0.109
0.742 0.891 0.443
0.891 0.443 0.742
```

Here is crystalline FePt at its relaxed geometry from Alexandria via LeMat-Bulk. Energies are from PBE-GGA.

* ΔE_f: 329 meV per atom
* energy: -6.923 eV per atom
* spin magnetization: 1.853 μB/atom
* density of states at the Fermi level: 1.35 states/eV per cell

```
FePt
1.0
0.000 2.542 2.542
2.542 0.000 2.542
2.542 2.542 0.000
Fe Pt
1 1
Direct
0.000 0.000 0.000
0.500 0.500 0.500
```

Here is crystalline FePt3 at its relaxed geometry from Alexandria via LeMat-Bulk. Energies are from PBE-GGA.

* ΔE_f: 88 meV per atom
* energy: -6.559 eV per atom
* spin magnetization: 0.898 μB/atom
* density of states at the Fermi level: 9.61 states/eV per cell

```
FePt3
1.0
4.992 0.000 0.000
0.000 4.992 0.000
0.000 0.000 4.992
Fe Pt
2 6
Direct
0.000 0.000 0.000
0.500 0.500 0.500
0.000 0.250 0.500
0.000 0.750 0.500
0.250 0.500 0.000
0.500 0.000 0.250
0.500 0.000 0.750
0.750 0.500 0.000
```

Here is crystalline FePt at its relaxed geometry from Alexandria via LeMat-Bulk. Energies are from PBE-GGA.

* ΔE_f: 937 meV per atom
* energy: -6.315 eV per atom
* spin magnetization: 1.896 μB/atom
* density of states at the Fermi level: 15.07 states/eV per cell

```
FePt
1.0
6.861 0.000 0.000
0.000 6.861 0.000
0.000 0.000 6.861
Fe Pt
6 6
Direct
0.000 0.250 0.500
0.000 0.750 0.500
0.250 0.500 0.000
0.500 0.000 0.250
0.500 0.000 0.750
0.750 0.500 0.000
0.000 0.500 0.250
0.000 0.500 0.750
0.250 0.000 0.500
0.500 0.250 0.000
0.500 0.750 0.000
0.750 0.000 0.500
```

Here is crystalline Fe2Pt at its relaxed geometry from Alexandria via LeMat-Bulk. Energies are from PBE-GGA.

* ΔE_f: -106 meV per atom
* energy: -7.762 eV per atom
* spin magnetization: 1.810 μB/atom
* density of states at the Fermi level: 5.29 states/eV per cell

```
Fe2Pt
1.0
0.000 3.392 3.392
3.392 0.000 3.392
3.392 3.392 0.000
Fe Pt
4 2
Direct
0.000 0.000 0.000
0.000 0.000 0.500
0.000 0.500 0.000
0.500 0.000 0.000
0.375 0.375 0.375
0.625 0.625 0.625
```

Here is crystalline Fe4Pt3 at its relaxed geometry from Alexandria via LeMat-Bulk. Energies are from PBE-GGA.

* ΔE_f: 107 meV per atom
* energy: -7.317 eV per atom
* spin magnetization: 1.882 μB/atom
* density of states at the Fermi level: 6.36 states/eV per cell

```
Fe4Pt3
1.0
5.172 0.000 0.000
-2.586 4.479 0.000
0.000 0.000 4.549
Fe Pt
4 3
Direct
0.000 0.000 0.246
0.000 0.000 0.754
0.333 0.667 0.000
0.667 0.333 0.000
0.000 0.500 0.500
0.500 0.000 0.500
0.500 0.500 0.500
```

Here is crystalline FePt at its relaxed geometry from Alexandria via LeMat-Bulk. Energies are from PBE-GGA.

* ΔE_f: 42 meV per atom
* energy: -7.210 eV per atom
* spin magnetization: 1.624 μB/atom
* density of states at the Fermi level: 8.75 states/eV per cell

```
FePt
1.0
-4.078 4.078 1.815
4.078 -4.078 1.815
4.078 4.078 -1.815
Fe Pt
4 4
Direct
0.000 0.337 0.337
0.000 0.663 0.663
0.337 0.000 0.337
0.663 0.000 0.663
0.337 0.337 0.674
0.337 0.663 0.000
0.663 0.337 0.000
0.663 0.663 0.326
```

Here is crystalline Fe2Pt at its relaxed geometry from Alexandria via LeMat-Bulk. Energies are from PBE-GGA.

* ΔE_f: -130 meV per atom
* energy: -7.785 eV per atom
* spin magnetization: 1.967 μB/atom
* density of states at the Fermi level: 5.30 states/eV per cell

```
Fe2Pt
1.0
4.212 -1.895 0.000
4.212 1.895 0.000
-1.743 0.000 5.041
Fe Pt
4 2
Direct
0.000 0.000 0.000
0.000 0.000 0.500
0.328 0.328 0.666
0.672 0.672 0.334
0.341 0.341 0.176
0.659 0.659 0.824
```

Here is crystalline FePt at its relaxed geometry from Alexandria via LeMat-Bulk. Energies are from PBE-GGA.

* ΔE_f: -139 meV per atom
* energy: -7.390 eV per atom
* spin magnetization: 1.612 μB/atom
* density of states at the Fermi level: 1.69 states/eV per cell

```
FePt
1.0
1.371 0.792 4.350
-1.371 0.792 4.350
0.000 -1.584 4.350
Fe Pt
1 1
Direct
0.000 0.000 0.000
0.500 0.500 0.500
```